No. 1
! FeNiPt2 | the Alexandria database | meta-GGA SCAN | single point on PBEsol structure; values from VASP
&SYSTEM
  ibrav = 0, nat = 4, ntyp = 3
/
ATOMIC_SPECIES
Ni 58.69 Ni.upf
Pt 195.08 Pt.upf
Fe 55.84 Fe.upf
CELL_PARAMETERS angstrom
2.6699 0.0000 -0.0397
0.0000 4.0291 0.0000
-1.2705 0.0000 4.9127
ATOMIC_POSITIONS angstrom
Ni -0.1186 2.0146 3.7066
Pt 1.1859 2.0146 1.3740
Pt 1.2309 0.0000 4.6930
Fe -0.1345 0.0000 2.4289
! energy relative to the elements = -0.228 eV/atom
! volume = 52.6 Å³ per cell
! DOS at the Fermi energy = 3.25 states/eV per cell


No. 2
! Tl4Au3 | the Alexandria database | meta-GGA SCAN | single point on PBEsol structure; values from VASP
&SYSTEM
  ibrav = 0, nat = 7, ntyp = 2
/
ATOMIC_SPECIES
Au 196.97 Au.upf
Tl 204.38 Tl.upf
CELL_PARAMETERS angstrom
3.4441 0.0000 0.0000
0.0000 3.4441 0.0000
-1.7220 -1.7220 13.6855
ATOMIC_POSITIONS angstrom
Au 0.0000 0.0000 7.5585
Au 0.0000 0.0000 0.0000
Au 1.7220 1.7220 6.1270
Tl 0.0000 0.0000 4.3480
Tl 0.0000 0.0000 11.8605
Tl 1.7220 1.7220 1.8250
Tl 1.7220 1.7220 9.3375
! ΔE to the lowest computed polymorph = 0.000 eV/atom
! energy relative to the elements = -0.015 eV/atom
! volume = 162.3 Å³ per cell
! DOS at the Fermi energy = 2.18 states/eV per cell


No. 3
! Tl2RuAu | the Alexandria database | meta-GGA SCAN | single point on PBEsol structure; values from VASP
&SYSTEM
  ibrav = 0, nat = 4, ntyp = 3
/
ATOMIC_SPECIES
Tl 204.38 Tl.upf
Au 196.97 Au.upf
Ru 101.07 Ru.upf
CELL_PARAMETERS angstrom
-1.4981 -1.1743 -2.6593
1.2513 -4.3745 1.2267
-3.9201 1.7936 3.4273
ATOMIC_POSITIONS angstrom
Tl -4.0774 -3.4672 1.8171
Tl -2.7615 -1.3018 0.1196
Au -0.3600 -2.5205 -0.6951
Ru -1.2584 -2.9951 2.0315
! energy relative to the elements = 0.445 eV/atom
! volume = 76.1 Å³ per cell
! DOS at the Fermi energy = 1.85 states/eV per cell


No. 4
! FeNiMo2 | the Alexandria database | meta-GGA SCAN | single point on PBEsol structure; values from VASP
&SYSTEM
  ibrav = 0, nat = 4, ntyp = 3
/
ATOMIC_SPECIES
Fe 55.84 Fe.upf
Mo 95.94 Mo.upf
Ni 58.69 Ni.upf
CELL_PARAMETERS angstrom
2.6475 0.0000 0.1468
0.0000 4.2112 0.0000
-0.2666 0.0000 4.5083
ATOMIC_POSITIONS angstrom
Fe 0.7776 2.1056 3.6403
Mo 2.2257 2.1056 1.5294
Mo 2.0750 0.0000 4.3674
Ni 0.8740 0.0000 2.1007
! ΔE to the lowest computed polymorph = 0.136 eV/atom
! energy relative to the elements = 0.209 eV/atom
! volume = 50.4 Å³ per cell
! DOS at the Fermi energy = 4.56 states/eV per cell


No. 5
! KCuW2 | the Alexandria database | meta-GGA SCAN | single point on PBEsol structure; values from VASP
&SYSTEM
  ibrav = 0, nat = 4, ntyp = 3
/
ATOMIC_SPECIES
K 39.10 K.upf
W 183.84 W.upf
Cu 63.55 Cu.upf
CELL_PARAMETERS angstrom
2.6110 -0.0231 0.0000
-0.5173 5.0134 0.0000
-1.0469 -2.4952 5.4573
ATOMIC_POSITIONS angstrom
K 1.3055 -0.0116 0.0000
W -0.5234 -1.2476 2.7286
W 0.5234 1.2476 2.7286
Cu -0.2587 2.5067 0.0000
! ΔE to the lowest computed polymorph = 0.383 eV/atom
! energy relative to the elements = 1.425 eV/atom
! volume = 71.4 Å³ per cell
! DOS at the Fermi energy = 3.28 states/eV per cell


No. 6
! LaMnBe2 | the Alexandria database | meta-GGA SCAN | single point on PBEsol structure; values from VASP
&SYSTEM
  ibrav = 0, nat = 4, ntyp = 3
/
ATOMIC_SPECIES
Be 9.01 Be.upf
Mn 54.94 Mn.upf
La 138.91 La.upf
CELL_PARAMETERS angstrom
3.0067 0.0000 0.0000
0.0000 4.6791 0.0000
0.0000 0.0000 4.6791
ATOMIC_POSITIONS angstrom
Be 0.0000 0.0000 2.3396
Be 0.0000 2.3396 0.0000
Mn 1.5033 0.0000 0.0000
La 1.5033 2.3396 2.3396
! ΔE to the lowest computed polymorph = 0.022 eV/atom
! energy relative to the elements = 0.451 eV/atom
! volume = 65.8 Å³ per cell
! DOS at the Fermi energy = 2.21 states/eV per cell


No. 7
! SiAg2Bi2 | the Alexandria database | meta-GGA SCAN | single point on PBEsol structure; values from VASP
&SYSTEM
  ibrav = 0, nat = 10, ntyp = 3
/
ATOMIC_SPECIES
Bi 208.98 Bi.upf
Si 28.09 Si.upf
Ag 107.87 Ag.upf
CELL_PARAMETERS angstrom
-0.5187 4.6550 0.6743
-4.9890 0.1338 -4.7613
-4.7028 -1.2329 4.8931
ATOMIC_POSITIONS angstrom
Bi -2.7041 2.1566 -0.3637
Bi -5.9135 2.0361 -2.0005
Bi -7.5065 1.3993 1.1698
Bi -4.2970 1.5198 2.8066
Si -4.8459 -0.5495 0.0659
Si 0.0000 0.0000 0.0000
Ag -2.3921 -0.4223 1.0752
Ag -5.8206 -1.0098 2.4937
Ag -3.8712 -0.0892 -2.3619
Ag -7.2998 -0.6767 -0.9434
! volume = 225.1 Å³ per cell
! DOS at the Fermi energy = 4.14 states/eV per cell
! formation energy from raw total energies = 0.437 eV/atom


No. 8
! RbAl3Rh | the Alexandria database | meta-GGA SCAN | single point on PBEsol structure; values from VASP
&SYSTEM
  ibrav = 0, nat = 5, ntyp = 3
/
ATOMIC_SPECIES
Rb 85.47 Rb.upf
Al 26.98 Al.upf
Rh 102.91 Rh.upf
CELL_PARAMETERS angstrom
-3.3927 2.1121 -3.3855
-1.9613 -4.7526 -0.9994
-3.4750 0.6204 3.8694
ATOMIC_POSITIONS angstrom
Rb 0.0000 0.0000 0.0000
Al -1.6963 1.0560 -1.6928
Al -1.7375 0.3102 1.9347
Al -0.9807 -2.3763 -0.4997
Rh -4.4145 -1.0101 -0.2578
! energy relative to the elements = 2.459 eV/atom
! volume = 143.7 Å³ per cell
! DOS at the Fermi energy = 3.62 states/eV per cell


No. 9
! K2LiTc | the Alexandria database | meta-GGA SCAN | single point on PBEsol structure; values from VASP
&SYSTEM
  ibrav = 0, nat = 4, ntyp = 3
/
ATOMIC_SPECIES
Li 6.94 Li.upf
K 39.10 K.upf
Tc 98.00 Tc.upf
CELL_PARAMETERS angstrom
4.4589 0.0000 0.0000
0.0000 5.1519 0.0000
0.0000 0.0000 5.3910
ATOMIC_POSITIONS angstrom
Li 2.2295 0.0000 2.6955
K 0.0000 0.0000 0.0000
K 2.2295 2.5759 0.0000
Tc 0.0000 2.5759 2.6955
! ΔE to the lowest computed polymorph = 0.048 eV/atom
! energy relative to the elements = 1.150 eV/atom
! volume = 123.8 Å³ per cell
! DOS at the Fermi energy = 2.87 states/eV per cell


No. 10
! VOF | the Alexandria database | meta-GGA SCAN | single point on PBEsol structure; values from VASP
&SYSTEM
  ibrav = 0, nat = 6, ntyp = 3
/
ATOMIC_SPECIES
F 19.00 F.upf
O 16.00 O.upf
V 50.94 V.upf
CELL_PARAMETERS angstrom
-2.7087 -0.4244 -1.3969
1.8261 -0.7604 -3.3098
0.1665 -5.6018 1.3788
ATOMIC_POSITIONS angstrom
F -0.3337 -4.2108 -1.4627
F 0.0590 -1.9834 0.4882
O -0.4265 -1.0907 -2.2307
O 0.1517 -5.1035 1.2561
V -1.3305 -1.0150 -0.5008
V 1.0557 -5.1791 -0.4737
! volume = 68.5 Å³ per cell
! DOS at the Fermi energy = 0.18 states/eV per cell
! formation energy from raw total energies = -2.857 eV/atom